# K2GeSF

A relaxed structure of K2GeSF (PBE, Alexandria).

a = 6.255 Å, b = 6.255 Å, c = 4.073 Å
α = 90.00°, β = 90.00°, γ = 90.00°
Atoms (fractional coordinates):
K 0.000 0.500 0.000
K 0.500 0.000 0.000
Ge 0.000 0.000 0.500
S 0.500 0.500 0.000
F 0.500 0.500 0.500

Calculated values
- Total magnetic moment: 2.10 μB per cell
- Crystal system: tetragonal
- DFT total energy: -14.51 eV per cell

=====

# ScTeH3

A relaxed structure of ScTeH3 (PBE, Alexandria).

a = 3.876 Å, b = 3.876 Å, c = 3.876 Å
α = 90.00°, β = 90.00°, γ = 90.00°
Atoms (fractional coordinates):
Sc 0.000 0.000 0.000
Te 0.500 0.500 0.500
H 0.000 0.000 0.500
H 0.000 0.500 0.000
H 0.500 0.000 0.000

Calculated values
- Total magnetic moment: 0.00 μB per cell
- Crystal system: cubic
- DFT total energy: -19.64 eV per cell